No. 1
{
  "formula": "Dy4Er3Te2Ir2",
  "functional": "PBE-GGA",
  "state": "optimized geometry",
  "lattice": [[-1.9638, 7.8477, 4.7264], [1.9638, -7.8477, 4.7264], [1.9638, 7.8477, -4.7264]],
  "species": ["Dy", "Dy", "Dy", "Dy", "Te", "Te", "Ir", "Ir", "Er", "Er", "Er"],
  "frac_coords": [[0.1332, 0.2648, 0.8684], [0.3965, 0.2648, 0.1316], [0.0600, 0.4138, 0.6462], [0.7676, 0.4138, 0.3538], [0.4185, 0.9185, 0.5000], [0.0192, 0.0192, 0.0000], [0.5165, 0.7541, 0.7624], [0.9917, 0.7541, 0.2376], [0.7390, 0.0546, 0.6845], [0.6824, 0.6824, 0.0000], [0.3701, 0.0546, 0.3155]],
  "relative_energy_mev_per_atom": 0,
  "sg": "No. 44",
  "e_tot_ev_per_atom": -6.021
}


No. 2
{
  "formula": "TbGdRe",
  "functional": "PBE-GGA",
  "state": "optimized geometry",
  "lattice": [[-3.0399, -3.5093, 1.1567], [-4.4948, 0.0917, -1.6381], [-1.3998, -3.1448, -3.3235]],
  "species": ["Re", "Gd", "Tb"],
  "frac_coords": [[0.2500, 0.2500, 0.2500], [0.0000, 0.0000, 0.0000], [0.7500, 0.7500, 0.7500]],
  "sg": "No. 216",
  "e_tot_ev_per_atom": -6.081,
  "e_form_ev_per_atom": 1.155
}


No. 3
{
  "formula": "BaCdTeO",
  "functional": "PBE-GGA",
  "state": "optimized geometry",
  "lattice": [[-7.5898, 1.9345, -0.3574], [6.6843, -1.0393, -3.9642], [-1.6487, -6.6596, -1.0341]],
  "species": ["Ba", "Ba", "O", "O", "Te", "Te", "Cd", "Cd"],
  "frac_coords": [[0.6445, 0.3555, 0.9854], [0.3555, 0.6445, 0.4854], [0.0649, 0.9351, 0.0480], [0.9351, 0.0649, 0.5480], [0.3382, 0.6618, 0.9873], [0.6618, 0.3382, 0.4873], [0.0570, 0.9430, 0.3719], [0.9430, 0.0570, 0.8719]],
  "sg": "No. 36",
  "e_tot_ev_per_atom": -4.216
}


No. 4
{
  "formula": "FeGe2",
  "functional": "PBE-GGA",
  "state": "optimized geometry",
  "lattice": [[3.5536, 2.0517, 5.8030], [-3.5536, 2.0517, 5.8030], [0.0000, -4.1034, 5.8030]],
  "species": ["Ge", "Ge", "Ge", "Ge", "Fe", "Fe"],
  "frac_coords": [[0.3750, 0.3750, 0.3750], [0.8750, 0.3750, 0.3750], [0.3750, 0.8750, 0.3750], [0.3750, 0.3750, 0.8750], [0.5000, 0.5000, 0.5000], [0.2500, 0.2500, 0.2500]],
  "sg": "No. 227",
  "e_tot_ev_per_atom": -5.121
}


No. 5
{
  "formula": "Tc2GeOs",
  "functional": "PBE-GGA",
  "state": "optimized geometry",
  "lattice": [[0.0000, 3.0739, 3.0739], [3.0739, 0.0000, 3.0739], [3.0739, 3.0739, 0.0000]],
  "species": ["Ge", "Tc", "Tc", "Os"],
  "frac_coords": [[0.5000, 0.5000, 0.5000], [0.7500, 0.7500, 0.7500], [0.0000, 0.0000, 0.0000], [0.2500, 0.2500, 0.2500]],
  "sg": "No. 216",
  "e_tot_ev_per_atom": -8.940
}


No. 6
{
  "formula": "GaCoNiAg",
  "functional": "PBE-GGA",
  "state": "optimized geometry",
  "lattice": [[0.0000, 2.9929, 2.9929], [2.9929, 0.0000, 2.9929], [2.9929, 2.9929, 0.0000]],
  "species": ["Ag", "Co", "Ni", "Ga"],
  "frac_coords": [[0.2500, 0.2500, 0.2500], [0.7500, 0.7500, 0.7500], [0.5000, 0.5000, 0.5000], [0.0000, 0.0000, 0.0000]],
  "relative_energy_mev_per_atom": 63,
  "sg": "No. 216",
  "e_tot_ev_per_atom": -4.512
}


No. 7
{
  "formula": "Ba4CdHg",
  "functional": "PBE-GGA",
  "state": "optimized geometry",
  "lattice": [[-0.8881, -2.2323, 3.5460], [0.5212, -3.6555, -2.1706], [14.7428, -0.0657, 3.6508]],
  "species": ["Cd", "Ba", "Ba", "Ba", "Ba", "Hg"],
  "frac_coords": [[0.0000, 0.0000, 0.0000], [0.5000, 0.5000, 0.1336], [0.0000, 0.0000, 0.6300], [0.5000, 0.5000, 0.8664], [0.0000, 0.0000, 0.3700], [0.5000, 0.5000, 0.5000]],
  "sg": "No. 123",
  "e_tot_ev_per_atom": -1.790
}


No. 8
{
  "formula": "Ge2Mo4Se3",
  "functional": "PBE-GGA",
  "state": "optimized geometry",
  "lattice": [[7.8357, 0.0000, 0.0000], [0.0000, 3.0750, 0.0000], [-3.9049, 0.0000, 6.7966]],
  "species": ["Ge", "Ge", "Mo", "Mo", "Mo", "Mo", "Se", "Se", "Se"],
  "frac_coords": [[0.3331, 0.0000, 0.6670], [0.0006, 0.5000, 0.0005], [0.0248, 0.0000, 0.7153], [0.6897, 0.0000, 0.9732], [0.2843, 0.0000, 0.3108], [0.6668, 0.0000, 0.3330], [0.4652, 0.5000, 0.0421], [0.5771, 0.5000, 0.5350], [0.9584, 0.5000, 0.4230]],
  "sg": "No. 6",
  "e_tot_ev_per_atom": -6.718
}